Computed, not measured: crystalline LaGdDySn at its relaxed geometry at the GGA-PBE level of DFT.

Unit cell a=7.8275 b=7.8275 c=7.8275 alpha=90.00 beta=90.00 gamma=90.00
Last column: nearest neighbours and their distance in Å.
Space group F-43m (No. 216)
Asymmetric unit:
La (0.0000, 0.0000, 0.0000) x4  4 Dy 3.39, 4 Sn 3.39
Gd (0.0000, 0.0000, 0.5000) x4  4 Sn 3.39, 4 Dy 3.39
Dy (0.2500, 0.2500, 0.7500) x4  4 Gd 3.39, 4 La 3.39
Sn (0.2500, 0.2500, 0.2500) x4  4 La 3.39, 4 Gd 3.39

Calculated values
* DFT formation energy: -0.2718 eV/atom
* electronic total energy: -7.175 eV/atom

***

Computed, not measured: crystalline TmS8I2 at its relaxed geometry at the GGA-PBE level of DFT.

Unit cell a=16.1073 b=6.1449 c=11.6167 alpha=90.00 beta=132.54 gamma=90.00
Last column: nearest neighbours and their distance in Å.
Space group C2/m (No. 12)
Asymmetric unit:
Tm (0.0000, 0.0000, 0.0000) x2  4 S 2.78, 2 I 2.91
S (0.0202, 0.5000, 0.8368) x4  2 S 2.23
S (0.1182, 0.2611, 0.2646) x8  2 S 2.14-2.23
S (0.2183, 0.5000, 0.2727) x4  2 S 2.14
I (0.1262, 0.0000, 0.9031) x4  1 Tm 2.91

Calculated values
* ΔE_f (raw): -81.5 meV per atom
* electronic total energy: -3.772 eV/atom

***

Computed, not measured: crystalline Ca3Ac at its relaxed geometry at the GGA-PBE level of DFT.

Unit cell a=6.2157 b=6.2157 c=8.7778 alpha=90.00 beta=90.00 gamma=90.00
Last column: nearest neighbours and their distance in Å.
Space group I4/mmm (No. 139)
Asymmetric unit:
Ca (0.0000, 0.0000, 0.0000) x2  8 Ca 3.80
Ca (0.0000, 0.5000, 0.2500) x4  4 Ac 3.80, 4 Ca 3.80
Ac (0.0000, 0.0000, 0.5000) x2  8 Ca 3.80

Calculated values
* DFT formation energy: 0.0535 eV/atom
* electronic total energy: -2.475 eV/atom

***

Computed, not measured: crystalline YMgP at its relaxed geometry at the GGA-PBE level of DFT.

Unit cell a=6.4382 b=6.4382 c=6.4382 alpha=90.00 beta=90.00 gamma=90.00
Last column: nearest neighbours and their distance in Å.
Space group F-43m (No. 216)
Asymmetric unit:
Y (0.0000, 0.0000, 0.0000) x4  4 P 2.79
Mg (0.0000, 0.0000, 0.5000) x4  4 P 2.79
P (0.2500, 0.2500, 0.7500) x4  4 Mg 2.79, 4 Y 2.79

Calculated values
* energy above the most stable polymorph in this dataset: 340 meV/atom
* DFT formation energy: -0.5665 eV/atom
* electronic total energy: -5.056 eV/atom